Entry from the Alexandria database: crystalline Ce2Ga3Pd4 at its relaxed geometry (PBE-GGA).

Cell: 5.7342 15.6949 7.5054 Å, 90.00 90.00 90.00°
Last column: nearest neighbours and their distance in Å.
Space group Cmce (No. 64)
Symmetry-distinct sites (fractional):
Ce 0.0000 0.1092 0.0835 x8  5 Pd 2.96-3.16, 2 Ga 3.13
Ga 0.0000 0.0000 0.5000 x4  6 Pd 2.58-2.78
Ga 0.2500 0.2327 0.7500 x8  5 Pd 2.62-2.65, 2 Ga 2.87
Pd 0.0000 0.1771 0.4804 x8  5 Ga 2.63-2.78
Pd 0.2500 0.0655 0.7500 x8  3 Ga 2.58-2.62, 2 Pd 2.87

Output
* E_form: -763.4 meV per atom



Entry from the Alexandria database: crystalline NdSm4Er3 at its relaxed geometry (PBE-GGA).

Cell: 11.4773 7.3110 6.3118 Å, 90.00 90.00 90.00°
Last column: nearest neighbours and their distance in Å.
Space group Pmn2_1 (No. 31)
Symmetry-distinct sites (fractional):
Nd 0.0000 0.1246 0.0000 x2  6 Er 3.55-3.64, 6 Sm 3.59-3.68
Sm 0.0000 0.3727 0.5031 x2  6 Sm 3.55-3.70, 4 Er 3.57-3.69, 2 Nd 3.62-3.66
Sm 0.0000 0.6278 0.9967 x2  6 Sm 3.54-3.70, 4 Er 3.55-3.66, 2 Nd 3.63-3.68
Sm 0.2468 0.6259 0.3338 x4  5 Er 3.54-3.68, 6 Sm 3.54-3.65, 1 Nd 3.59
Er 0.0000 0.8775 0.5001 x2  6 Sm 3.54-3.69, 4 Er 3.54-3.56, 2 Nd 3.64
Er 0.2499 0.1227 0.3331 x4  4 Er 3.54-3.63, 2 Nd 3.55-3.56, 6 Sm 3.55-3.68

Output
* E_form: 23.1 meV per atom



Entry from the Alexandria database: crystalline Sm3Al7 at its relaxed geometry (PBE-GGA).

Cell: 5.1487 12.5611 7.1495 Å, 90.00 90.00 90.00°
Last column: nearest neighbours and their distance in Å.
Space group Cmmm (No. 65)
Symmetry-distinct sites (fractional):
Sm 0.0000 0.0000 0.0000 x2  12 Al 3.28-3.39
Sm 0.0000 0.1533 0.5000 x4  6 Al 3.21-3.37, 2 Sm 3.54
Al 0.0000 0.3886 0.2046 x8  4 Al 2.53-2.80
Al 0.0000 0.5000 0.5000 x2  4 Al 2.53
Al 0.2500 0.2500 0.0000 x4  6 Al 2.57-2.61

Output
* E_form: -156.7 meV per atom



Entry from the Alexandria database: crystalline TiCuBr at its relaxed geometry (PBE-GGA).

Cell: 13.6720 3.2064 5.5549 Å, 90.00 90.00 90.00°
Last column: nearest neighbours and their distance in Å.
Space group Amm2 (No. 38)
Symmetry-distinct sites (fractional):
Ti 0.1383 0.0000 0.0000 x4  3 Br 2.58, 3 Cu 2.65
Cu 0.0000 0.0000 0.3336 x2  6 Ti 2.65
Cu 0.5000 0.0000 0.3352 x2  2 Br 3.14, 6 Cu 3.21
Br 0.2701 0.0000 0.3333 x4  3 Ti 2.58

Output
* E_form (uncorrected): -0.062 eV per atom